No. 1
Density functional theory data (PBE-GGA) for MgGa2Rh after structural relaxation.

Results
Energy of formation from the pure elements ... -161 meV/atom
Magnetization ... 0.000 μB/atom
Final energy ... -3.9107 eV per atom

CIF file:
```
data_MgGa2Rh
_symmetry_space_group_name_H-M 'P 1'
_symmetry_Int_Tables_number 1
_symmetry_space_group_name_Hall 'P 1'
_cell_length_a 7.567
_cell_length_b 7.567
_cell_length_c 5.278
_cell_angle_alpha 90.00
_cell_angle_beta 90.00
_cell_angle_gamma 90.00
loop_
_atom_site_label
_atom_site_fract_x
_atom_site_fract_y
_atom_site_fract_z
Mg1 0.000 0.000 0.000
Mg2 0.000 0.500 0.250
Mg3 0.500 0.000 0.750
Mg4 0.500 0.500 0.500
Ga1 0.191 0.250 0.625
Ga2 0.250 0.691 0.875
Ga3 0.250 0.809 0.375
Ga4 0.309 0.250 0.125
Ga5 0.691 0.750 0.125
Ga6 0.750 0.191 0.375
Ga7 0.750 0.309 0.875
Ga8 0.809 0.750 0.625
Rh1 0.000 0.000 0.500
Rh2 0.000 0.500 0.750
Rh3 0.500 0.000 0.250
Rh4 0.500 0.500 0.000
```

***

No. 2
Density functional theory data (PBE-GGA) for RbHg4Bi after structural relaxation.

Results
Energy of formation from the pure elements ... -115 meV/atom
Magnetization ... 0.000 μB/atom
Final energy ... -1.1241 eV per atom
ΔE to the lowest computed polymorph ... 0 meV per atom

CIF file:
```
data_RbHg4Bi
_symmetry_space_group_name_H-M 'P 1'
_symmetry_Int_Tables_number 1
_symmetry_space_group_name_Hall 'P 1'
_cell_length_a 13.008
_cell_length_b 13.008
_cell_length_c 6.548
_cell_angle_alpha 90.00
_cell_angle_beta 90.00
_cell_angle_gamma 156.44
loop_
_atom_site_label
_atom_site_fract_x
_atom_site_fract_y
_atom_site_fract_z
Rb1 0.103 0.897 0.750
Rb2 0.897 0.103 0.250
Hg1 0.172 0.828 0.250
Hg2 0.286 0.714 0.013
Hg3 0.286 0.714 0.487
Hg4 0.500 0.500 0.000
Hg5 0.500 0.500 0.500
Hg6 0.714 0.286 0.513
Hg7 0.714 0.286 0.987
Hg8 0.828 0.172 0.750
Bi1 0.407 0.593 0.750
Bi2 0.593 0.407 0.250
```

***

No. 3
Density functional theory data (PBE-GGA) for TeHF after structural relaxation.

Results
Magnetization ... 0.000 μB/atom
Final energy ... -3.4318 eV per atom
ΔE to the lowest computed polymorph ... 381 meV per atom

CIF file:
```
data_TeHF
_symmetry_space_group_name_H-M 'P 1'
_symmetry_Int_Tables_number 1
_symmetry_space_group_name_Hall 'P 1'
_cell_length_a 5.368
_cell_length_b 3.989
_cell_length_c 5.406
_cell_angle_alpha 90.00
_cell_angle_beta 111.22
_cell_angle_gamma 90.00
loop_
_atom_site_label
_atom_site_fract_x
_atom_site_fract_y
_atom_site_fract_z
Te1 0.203 0.250 0.166
Te2 0.797 0.750 0.834
H1 0.293 0.250 0.899
H2 0.707 0.750 0.101
F1 0.363 0.750 0.640
F2 0.637 0.250 0.360
```

***

No. 4
Density functional theory data (PBE-GGA) for HoB2C2 after structural relaxation.

Results
Energy of formation from the pure elements ... 73 meV/atom
Magnetization ... 0.000 μB/atom
Final energy ... -7.2030 eV per atom

CIF file:
```
data_HoB2C2
_symmetry_space_group_name_H-M 'P 1'
_symmetry_Int_Tables_number 1
_symmetry_space_group_name_Hall 'P 1'
_cell_length_a 2.855
_cell_length_b 2.855
_cell_length_c 25.166
_cell_angle_alpha 90.00
_cell_angle_beta 90.00
_cell_angle_gamma 120.00
loop_
_atom_site_label
_atom_site_fract_x
_atom_site_fract_y
_atom_site_fract_z
Ho1 0.000 0.000 0.000
Ho2 0.333 0.667 0.667
Ho3 0.667 0.333 0.333
B1 0.000 0.000 0.249
B2 0.000 0.000 0.751
B3 0.333 0.667 0.418
B4 0.333 0.667 0.916
B5 0.667 0.333 0.084
B6 0.667 0.333 0.582
C1 0.000 0.000 0.413
C2 0.000 0.000 0.587
C3 0.333 0.667 0.080
C4 0.333 0.667 0.253
C5 0.667 0.333 0.747
C6 0.667 0.333 0.920
```